# 1
Material: BaZrZn2N
Method: DFT, GGA-PBE
State: optimized geometry

The structure belongs to space group P4/mmm (No. 123); the cell edges are 5.076, 5.076 and 6.797 Å and the angles 90.00°, 90.00° and 90.00°. The asymmetric unit holds Ba at (0.000, 0.000, 0.000), Zr at (0.000, 0.000, 0.500), Zn at (0.000, 0.500, 0.500) and N at (0.500, 0.500, 0.000).

Its crystal system is tetragonal. The calculation puts the formation energy from raw total energies at 1.681 eV per atom. The calculation puts the magnetization at 1.822 μB per formula unit.

---

# 2
Material: BeCrTe2I
Method: DFT, GGA-PBE
State: optimized geometry

The structure belongs to space group P4/mmm (No. 123); the cell edges are 5.013, 5.013 and 5.046 Å and the angles 90.00°, 90.00° and 90.00°. The asymmetric unit holds Be at (0.000, 0.000, 0.000), Cr at (0.500, 0.500, 0.500), Te at (0.000, 0.500, 0.000) and I at (0.000, 0.000, 0.500).

Its crystal system is tetragonal. The calculation puts the formation energy from raw total energies at 1.057 eV per atom. The calculation puts the energy relative to the lowest polymorph listed for this composition at 27.9 kJ per mole of atoms. The calculation puts the magnetization at 0.564 μB per formula unit.

---

# 3
Material: Cs8BiH2Au
Method: DFT, GGA-PBE
State: optimized geometry

The structure belongs to space group P-3m1 (No. 164); the cell edges are 9.3876, 9.3876 and 10.7919 Å and the angles 90.00°, 90.00° and 120.00°. The asymmetric unit holds Cs at (0.1631, 0.3262, 0.2739), Cs at (0.3333, 0.6667, 0.9227), Bi at (0.0000, 0.0000, 0.0000), H at (0.3333, 0.6667, 0.1839) and Au at (0.0000, 0.0000, 0.5000).

Its crystal system is trigonal. The energy is -22.4 eV/cell. The calculation puts the magnetization at 1.055 μB per formula unit.

---

# 4
Material: Cs2BiSeBr6
Method: DFT, GGA-PBE
State: optimized geometry

The structure belongs to space group I4/mmm (No. 139); the cell edges are 8.394, 8.394 and 11.172 Å and the angles 90.00°, 90.00° and 90.00°. The asymmetric unit holds Cs at (0.000, 0.500, 0.250), Bi at (0.000, 0.000, 0.000), Se at (0.000, 0.000, 0.500), Br at (0.000, 0.000, 0.260) and Br at (0.242, 0.242, 0.000).

Its crystal system is tetragonal. The calculation puts the formation energy from raw total energies at -0.914 eV per atom. The calculation puts the magnetization at 0.003 μB per formula unit.

---

# 5
Material: PmY2Mg4
Method: DFT, GGA-PBE
State: optimized geometry

The structure belongs to space group I4/mmm (No. 139); the cell edges are 5.409, 5.409 and 14.564 Å and the angles 90.00°, 90.00° and 90.00°. The asymmetric unit holds Pm at (0.000, 0.000, 0.000), Y at (0.000, 0.000, 0.252) and Mg at (0.000, 0.500, 0.119).

Its crystal system is tetragonal. The calculation puts the energy relative to the lowest polymorph listed for this composition at 0.0 kJ per mole of atoms. The calculation puts the magnetization at 0.419 μB per formula unit.

---

# 6
Material: YEr3Pu2S6
Method: DFT, GGA-PBE
State: optimized geometry

The structure belongs to space group C2/m (No. 12); the cell edges are 6.742, 11.685 and 6.790 Å and the angles 90.00°, 109.31° and 90.00°. The asymmetric unit holds Y at (0.000, 0.000, 0.000), Er at (0.000, 0.167, 0.500), Er at (0.000, 0.500, 0.500), Pu at (0.000, 0.333, 0.000), S at (0.247, 0.000, 0.743) and S at (0.248, 0.334, 0.744).

Its crystal system is monoclinic. The calculation puts the formation energy from raw total energies at -1.929 eV per atom. The calculation puts the magnetization at 11.547 μB per formula unit.

---

# 7
Material: MnSb2RhI
Method: DFT, GGA-PBE
State: optimized geometry

The structure belongs to space group P4/mmm (No. 123); the cell edges are 5.104, 5.104 and 5.625 Å and the angles 90.00°, 90.00° and 90.00°. The asymmetric unit holds Mn at (0.000, 0.000, 0.000), Sb at (0.000, 0.500, 0.500), Rh at (0.500, 0.500, 0.500) and I at (0.500, 0.500, 0.000).

Its crystal system is tetragonal. The calculation puts the formation energy from raw total energies at 0.591 eV per atom. The calculation puts the energy relative to the lowest polymorph listed for this composition at 0.0 kJ per mole of atoms. The calculation puts the magnetization at 3.968 μB per formula unit.